[1]
# AcTb2Y3

An optimized crystal structure of AcTb2Y3 (PBE, Alexandria via LeMat-Bulk).

The structure in POSCAR format:
```
AcTb2Y3
1.0
11.680 -1.797 0.000
11.680 1.797 0.000
-3.399 0.000 9.970
Ac Tb Y
2 4 6
Direct
0.181 0.181 0.039
0.819 0.819 0.961
0.192 0.192 0.376
0.434 0.434 0.853
0.566 0.566 0.147
0.808 0.808 0.624
0.060 0.060 0.445
0.196 0.196 0.711
0.433 0.433 0.244
0.567 0.567 0.756
0.804 0.804 0.289
0.940 0.940 0.555
```

Summary:
The value obtained for the formation energy is 139.2 meV per atom. The value obtained for the size of the total moment is 0.0 μB per formula unit.

=====

[2]
# MgFe2Ni

An optimized crystal structure of MgFe2Ni (PBE, Alexandria via LeMat-Bulk).

The structure in POSCAR format:
```
MgFe2Ni
1.0
2.634 0.000 0.000
0.000 3.749 0.000
0.000 0.000 5.259
Mg Fe Ni
1 2 1
Direct
0.000 0.000 0.000
0.500 0.500 0.271
0.500 0.500 0.729
0.000 0.000 0.500
```

Summary:
The value obtained for the formation energy is 139.8 meV per atom. The value obtained for the size of the total moment is 5.7 μB per formula unit.

=====

[3]
# Dy5Tm3Th

An optimized crystal structure of Dy5Tm3Th (PBE, Alexandria via LeMat-Bulk).

The structure in POSCAR format:
```
Dy5Tm3Th
1.0
6.200 -4.048 0.000
6.200 4.048 0.000
-1.566 0.000 12.067
Dy Tm Th
10 6 2
Direct
0.045 0.045 0.629
0.175 0.565 0.227
0.178 0.822 0.000
0.247 0.247 0.975
0.435 0.825 0.773
0.565 0.175 0.227
0.753 0.753 0.025
0.822 0.178 0.000
0.825 0.435 0.773
0.955 0.955 0.371
0.131 0.131 0.211
0.236 0.236 0.466
0.500 0.500 0.000
0.500 0.500 0.500
0.764 0.764 0.534
0.869 0.869 0.789
0.365 0.365 0.732
0.635 0.635 0.268
```

Summary:
The value obtained for the formation energy is 508.0 meV per atom. The value obtained for the size of the total moment is 0.0 μB per formula unit.

=====

[4]
# ErAlZn4

An optimized crystal structure of ErAlZn4 (PBE, Alexandria via LeMat-Bulk).

The structure in POSCAR format:
```
ErAlZn4
1.0
2.163 -7.771 0.000
2.163 7.771 0.000
0.000 0.000 6.672
Er Al Zn
2 2 8
Direct
0.121 0.879 0.750
0.879 0.121 0.250
0.343 0.657 0.750
0.657 0.343 0.250
0.066 0.934 0.250
0.261 0.739 0.076
0.261 0.739 0.424
0.500 0.500 0.000
0.500 0.500 0.500
0.739 0.261 0.576
0.739 0.261 0.924
0.934 0.066 0.750
```

Summary:
The value obtained for the formation energy is -67.8 meV per atom. The value obtained for the size of the total moment is 0.0 μB per formula unit.